The following is a DFT calculation (GGA+U) of a relaxed K2FeSnO4 crystal.

Structure (POSCAR):
```
K2FeSnO4
1.0
-3.044 3.044 3.757
3.044 -3.044 3.757
3.044 3.044 -3.757
K Fe Sn O
2 1 1 4
Direct
0.000 0.000 0.000
0.750 0.250 0.500
0.500 0.500 0.000
0.250 0.750 0.500
0.247 0.126 0.581
0.334 0.753 0.878
0.544 0.666 0.419
0.874 0.456 0.122
```

Output
Uncorrected energy ... -5.4995 eV/atom